Record 1
PBE YAgAu6, relaxed; symmetry = C2/m; VASP energy = -3.972 eV per atom; DOS(E_F) = 6.542 states/eV per cell
1.0
9.319 0.000 0.000
0.000 4.313 0.000
-3.972 0.000 7.620
Y Ag Au
2 2 12
direct
0.000 0.000 0.000
0.500 0.500 0.000
0.000 0.000 0.500
0.500 0.500 0.500
0.006 0.500 0.748
0.247 0.000 0.381
0.248 0.000 0.865
0.252 0.500 0.135
0.253 0.500 0.619
0.494 0.000 0.252
0.506 0.000 0.748
0.747 0.500 0.381
0.748 0.500 0.865
0.752 0.000 0.135
0.753 0.000 0.619
0.994 0.500 0.252


Record 2
PBE Rb12H5Cl3, relaxed; symmetry = Ia-3d; VASP energy = -2.175 eV per atom; DOS(E_F) = 49.194 states/eV per cell
1.0
-9.472 9.472 9.472
9.472 -9.472 9.472
9.472 9.472 -9.472
Rb H Cl
48 20 12
direct
0.023 0.206 0.125
0.023 0.316 0.898
0.081 0.706 0.684
0.081 0.875 0.398
0.102 0.625 0.419
0.102 0.977 0.684
0.125 0.023 0.206
0.125 0.602 0.919
0.184 0.206 0.581
0.184 0.477 0.602
0.206 0.125 0.023
0.206 0.581 0.184
0.294 0.316 0.919
0.294 0.477 0.375
0.316 0.898 0.023
0.316 0.919 0.294
0.375 0.294 0.477
0.375 0.581 0.898
0.398 0.081 0.875
0.398 0.816 0.523
0.419 0.102 0.625
0.419 0.816 0.794
0.477 0.375 0.294
0.477 0.602 0.184
0.523 0.398 0.816
0.523 0.625 0.706
0.581 0.184 0.206
0.581 0.898 0.375
0.602 0.184 0.477
0.602 0.919 0.125
0.625 0.419 0.102
0.625 0.706 0.523
0.684 0.081 0.706
0.684 0.102 0.977
0.706 0.523 0.625
0.706 0.684 0.081
0.794 0.419 0.816
0.794 0.875 0.977
0.816 0.523 0.398
0.816 0.794 0.419
0.875 0.398 0.081
0.875 0.977 0.794
0.898 0.023 0.316
0.898 0.375 0.581
0.919 0.125 0.602
0.919 0.294 0.316
0.977 0.684 0.102
0.977 0.794 0.875
0.000 0.000 0.000
0.000 0.000 0.500
0.000 0.500 0.000
0.000 0.500 0.500
0.125 0.750 0.875
0.125 0.875 0.250
0.250 0.125 0.875
0.250 0.625 0.375
0.375 0.250 0.625
0.375 0.625 0.750
0.500 0.000 0.000
0.500 0.000 0.500
0.500 0.500 0.000
0.500 0.500 0.500
0.625 0.375 0.250
0.625 0.750 0.375
0.750 0.375 0.625
0.750 0.875 0.125
0.875 0.125 0.750
0.875 0.250 0.125
0.125 0.250 0.375
0.125 0.375 0.750
0.250 0.375 0.125
0.250 0.875 0.625
0.375 0.125 0.250
0.375 0.750 0.125
0.625 0.250 0.875
0.625 0.875 0.750
0.750 0.125 0.375
0.750 0.625 0.875
0.875 0.625 0.250
0.875 0.750 0.625


Record 3
PBE NaRePt3, relaxed; symmetry = Pm-3m; relative energy among the computed polymorphs = 0 meV/atom; DOS(E_F) = 4.846 states/eV per cell
1.0
4.880 0.000 0.000
0.000 4.880 0.000
0.000 0.000 4.880
Na Re Pt
1 1 3
direct
0.000 0.000 0.000
0.500 0.500 0.500
0.000 0.500 0.500
0.500 0.000 0.500
0.500 0.500 0.000


Record 4
PBE PrTm2Ni, relaxed; symmetry = R-3m; relative energy among the computed polymorphs = 94 meV/atom; DOS(E_F) = 15.983 states/eV per cell
1.0
3.759 0.000 0.000
-1.879 3.255 0.000
0.000 0.000 27.494
Pr Tm Ni
3 6 3
direct
0.000 0.000 0.000
0.333 0.667 0.667
0.667 0.333 0.333
0.000 0.000 0.223
0.000 0.000 0.777
0.333 0.667 0.444
0.333 0.667 0.890
0.667 0.333 0.110
0.667 0.333 0.556
0.000 0.000 0.500
0.333 0.667 0.167
0.667 0.333 0.833


Record 5
PBE TbNd8Tm2, relaxed; symmetry = C2/m; relative energy among the computed polymorphs = 0 meV/atom; DOS(E_F) = 17.461 states/eV per cell
1.0
5.213 -6.787 0.000
5.213 6.787 0.000
-0.011 0.000 5.487
Tb Nd Tm
1 8 2
direct
0.000 0.000 0.000
0.031 0.301 0.500
0.254 0.746 0.000
0.301 0.031 0.500
0.335 0.335 0.000
0.665 0.665 0.000
0.699 0.969 0.500
0.746 0.254 0.000
0.969 0.699 0.500
0.381 0.619 0.500
0.619 0.381 0.500


Record 6
PBE CeLuNiOs, relaxed; symmetry = F-43m; VASP energy = -7.177 eV per atom; DOS(E_F) = 16.431 states/eV per cell
1.0
6.779 0.000 0.000
0.000 6.779 0.000
0.000 0.000 6.779
Ce Lu Ni Os
4 4 4 4
direct
0.000 0.000 0.000
0.000 0.500 0.500
0.500 0.000 0.500
0.500 0.500 0.000
0.000 0.000 0.500
0.000 0.500 0.000
0.500 0.000 0.000
0.500 0.500 0.500
0.250 0.250 0.250
0.250 0.750 0.750
0.750 0.250 0.750
0.750 0.750 0.250
0.250 0.250 0.750
0.250 0.750 0.250
0.750 0.250 0.250
0.750 0.750 0.750


Record 7
PBE ZrCuNiP2, relaxed; symmetry = P4/mmm; VASP energy = -5.551 eV per atom; DOS(E_F) = 3.076 states/eV per cell
1.0
4.412 0.000 0.000
0.000 4.412 0.000
0.000 0.000 4.235
Zr Cu Ni P
1 1 1 2
direct
0.000 0.000 0.000
0.500 0.500 0.500
0.500 0.500 0.000
0.000 0.500 0.500
0.500 0.000 0.500


Record 8
PBE TaPt2, relaxed; symmetry = Cmcm; VASP energy = -8.679 eV per atom; DOS(E_F) = 7.726 states/eV per cell
1.0
3.718 0.000 0.000
0.000 12.735 0.000
0.000 0.000 4.156
Ta Pt
4 8
direct
0.000 0.098 0.250
0.000 0.902 0.750
0.500 0.402 0.750
0.500 0.598 0.250
0.000 0.244 0.750
0.000 0.432 0.250
0.000 0.568 0.750
0.000 0.756 0.250
0.500 0.068 0.750
0.500 0.256 0.250
0.500 0.744 0.750
0.500 0.932 0.250


Record 9
PBE AlVP2Au, relaxed; symmetry = P4/mmm; VASP energy = -4.100 eV per atom; DOS(E_F) = 8.084 states/eV per cell
1.0
4.729 0.000 0.000
0.000 4.729 0.000
0.000 0.000 5.007
Al V P Au
1 1 2 1
direct
0.000 0.000 0.000
0.500 0.500 0.000
0.000 0.500 0.500
0.500 0.000 0.500
0.500 0.500 0.500


Record 10
PBE Ac2TmTe2Se2, relaxed; symmetry = I4/mmm; DOS(E_F) = 5.570 states/eV per cell; energy relative to the elements, uncorrected = -1.580 eV per atom
1.0
5.257 0.000 0.000
0.000 5.257 0.000
0.000 0.000 16.830
Ac Tm Te Se
4 2 4 4
direct
0.000 0.000 0.125
0.000 0.000 0.875
0.500 0.500 0.375
0.500 0.500 0.625
0.000 0.000 0.500
0.500 0.500 0.000
0.000 0.000 0.320
0.000 0.000 0.680
0.500 0.500 0.180
0.500 0.500 0.820
0.000 0.500 0.000
0.000 0.500 0.500
0.500 0.000 0.000
0.500 0.000 0.500


Record 11
PBE KNaZn2Rh, relaxed; symmetry = P4/mmm; VASP energy = -2.464 eV per atom; DOS(E_F) = 2.473 states/eV per cell
1.0
4.918 0.000 0.000
0.000 4.918 0.000
0.000 0.000 5.387
K Na Zn Rh
1 1 2 1
direct
0.000 0.000 0.000
0.500 0.500 0.000
0.000 0.500 0.500
0.500 0.000 0.500
0.500 0.500 0.500


Record 12
PBE LiGeAu2, relaxed; symmetry = R3m; VASP energy = -3.465 eV per atom; DOS(E_F) = 3.661 states/eV per cell
1.0
4.422 0.000 0.000
-2.211 3.829 0.000
0.000 0.000 12.931
Li Ge Au
3 3 6
direct
0.000 0.000 0.000
0.333 0.667 0.667
0.667 0.333 0.333
0.000 0.000 0.794
0.333 0.667 0.461
0.667 0.333 0.128
0.000 0.000 0.375
0.000 0.000 0.588
0.333 0.667 0.041
0.333 0.667 0.255
0.667 0.333 0.708
0.667 0.333 0.922